(1)
First-principles (PBE-GGA) data for a relaxed CaTbTlAg crystal, as listed in Alexandria via LeMat-Bulk.

formation energy from the elements = -138 kJ/mol of formula units
DOS(E_F) = 0.775 states/eV per atom
crystal system = cubic

Unit cell a=7.5032 b=7.5032 c=7.5032 alpha=90.00 beta=90.00 gamma=90.00
Space group F-43m (No. 216)
Inequivalent atoms, fractional coordinates:
Ca (0.0000, 0.0000, 0.0000) [4 per cell]
Tb (0.0000, 0.0000, 0.5000) [4 per cell]
Tl (0.2500, 0.2500, 0.7500) [4 per cell]
Ag (0.2500, 0.2500, 0.2500) [4 per cell]


(2)
First-principles (PBE-GGA) data for a relaxed CaTbZnAg crystal, as listed in Alexandria via LeMat-Bulk.

formation energy from the elements = -109 kJ/mol of formula units
relative energy among the computed polymorphs = 0.023 eV/atom
DOS(E_F) = 0.774 states/eV per atom
crystal system = cubic

Unit cell a=7.2852 b=7.2852 c=7.2852 alpha=90.00 beta=90.00 gamma=90.00
Space group F-43m (No. 216)
Inequivalent atoms, fractional coordinates:
Ca (0.0000, 0.0000, 0.0000) [4 per cell]
Tb (0.0000, 0.0000, 0.5000) [4 per cell]
Zn (0.2500, 0.2500, 0.2500) [4 per cell]
Ag (0.2500, 0.2500, 0.7500) [4 per cell]


(3)
First-principles (PBE-GGA) data for a relaxed CaTbZnAg crystal, as listed in Alexandria via LeMat-Bulk.

formation energy from the elements = -118 kJ/mol of formula units
relative energy among the computed polymorphs = 0.000 eV/atom
DOS(E_F) = 0.725 states/eV per atom
crystal system = tetragonal

Unit cell a=3.6667 b=3.6667 c=7.2694 alpha=90.00 beta=90.00 gamma=90.00
Space group P4mm (No. 99)
Inequivalent atoms, fractional coordinates:
Ca (0.0000, 0.0000, 0.0000) [1 per cell]
Tb (0.0000, 0.0000, 0.4879) [1 per cell]
Zn (0.5000, 0.5000, 0.2633) [1 per cell]
Ag (0.5000, 0.5000, 0.7272) [1 per cell]


(4)
First-principles (PBE-GGA) data for a relaxed CaTcAg2 crystal, as listed in Alexandria via LeMat-Bulk.

formation energy from the elements = 164 kJ/mol of formula units
relative energy among the computed polymorphs = 0.032 eV/atom
DOS(E_F) = 0.683 states/eV per atom
crystal system = monoclinic

Unit cell a=10.2095 b=2.8116 c=5.3820 alpha=90.00 beta=98.30 gamma=90.00
Space group C2/m (No. 12)
Inequivalent atoms, fractional coordinates:
Ca (0.0000, 0.0000, 0.0000) [2 per cell]
Tc (0.0000, 0.5000, 0.5000) [2 per cell]
Ag (0.2383, 0.0000, 0.7275) [4 per cell]


(5)
First-principles (PBE-GGA) data for a relaxed CaTcAg2 crystal, as listed in Alexandria via LeMat-Bulk.

formation energy from the elements = 170 kJ/mol of formula units
relative energy among the computed polymorphs = 0.048 eV/atom
DOS(E_F) = 0.871 states/eV per atom
crystal system = tetragonal

Unit cell a=3.4388 b=3.4388 c=6.9009 alpha=90.00 beta=90.00 gamma=90.00
Space group P4/mmm (No. 123)
Inequivalent atoms, fractional coordinates:
Ca (0.0000, 0.0000, 0.0000) [1 per cell]
Tc (0.0000, 0.0000, 0.5000) [1 per cell]
Ag (0.5000, 0.5000, 0.2862) [2 per cell]


(6)
First-principles (PBE-GGA) data for a relaxed CaTcAg2 crystal, as listed in Alexandria via LeMat-Bulk.

formation energy from the elements = 165 kJ/mol of formula units
relative energy among the computed polymorphs = 0.036 eV/atom
DOS(E_F) = 0.985 states/eV per atom
crystal system = tetragonal

Unit cell a=4.3794 b=4.3794 c=4.1054 alpha=90.00 beta=90.00 gamma=90.00
Space group P4/mmm (No. 123)
Inequivalent atoms, fractional coordinates:
Ca (0.0000, 0.0000, 0.0000) [1 per cell]
Tc (0.5000, 0.5000, 0.0000) [1 per cell]
Ag (0.0000, 0.5000, 0.5000) [2 per cell]


DOS(E_F) of number 5 (CaTcAg2)?
0.871 states/eV per atom


What is the formula in the second record?
CaTbZnAg